No. 1
Material: TeMo2Cl
Method: DFT, PBE-GGA
State: relaxed

Lattice parameters (Å, degrees): 3.0861 3.0861 8.9374 90.00 90.00 90.00
Atoms (fractional coordinates):
1 Te 0.0000 0.0000 0.0000
2 Mo 0.0000 0.0000 0.6048
3 Mo 0.5000 0.5000 0.8044
4 Cl 0.5000 0.5000 0.4213

SG = P4mm, No. 99
formation energy from raw total energies = 56 meV per atom
volume = 85 Å³/f.u.



No. 2
Material: SrBeFe
Method: DFT, PBE-GGA
State: relaxed

Lattice parameters (Å, degrees): 4.5878 4.5878 4.5878 60.00 60.00 60.00
Atoms (fractional coordinates):
1 Sr 0.0000 0.0000 0.0000
2 Be 0.2500 0.2500 0.2500
3 Fe 0.5000 0.5000 0.5000

SG = F-43m, No. 216
volume = 68 Å³/f.u.
energy of formation from the pure elements = 974 meV per atom



No. 3
Material: Ca4CdHg15
Method: DFT, PBE-GGA
State: relaxed

Lattice parameters (Å, degrees): 4.7770 4.7770 22.5276 90.00 90.00 90.00
Atoms (fractional coordinates):
1 Ca 0.0000 0.0000 0.1021
2 Ca 0.0000 0.0000 0.3085
3 Ca 0.0000 0.0000 0.6915
4 Ca 0.0000 0.0000 0.8979
5 Cd 0.0000 0.0000 0.5000
6 Hg 0.0000 0.5000 0.0000
7 Hg 0.0000 0.5000 0.2041
8 Hg 0.0000 0.5000 0.4056
9 Hg 0.0000 0.5000 0.5944
10 Hg 0.0000 0.5000 0.7959
11 Hg 0.5000 0.0000 0.0000
12 Hg 0.5000 0.0000 0.2041
13 Hg 0.5000 0.0000 0.4056
14 Hg 0.5000 0.0000 0.5944
15 Hg 0.5000 0.0000 0.7959
16 Hg 0.5000 0.5000 0.1005
17 Hg 0.5000 0.5000 0.3042
18 Hg 0.5000 0.5000 0.5000
19 Hg 0.5000 0.5000 0.6958
20 Hg 0.5000 0.5000 0.8995

SG = P4/mmm, No. 123
volume = 514 Å³/f.u.
energy of formation from the pure elements = -303 meV per atom



No. 4
Material: ZrP2Rh
Method: DFT, PBE-GGA
State: relaxed

Lattice parameters (Å, degrees): 5.6001 5.6001 5.6001 39.77 39.77 39.77
Atoms (fractional coordinates):
1 Zr 0.0000 0.0000 0.0000
2 P 0.2375 0.2375 0.2375
3 P 0.7625 0.7625 0.7625
4 Rh 0.5000 0.5000 0.5000

SG = R-3m, No. 166
volume = 65 Å³/f.u.
energy of formation from the pure elements = -783 meV per atom



What is the volume in the third record? 514 Å³/f.u.